# 1
{
  "formula": "Li2P2Pb",
  "functional": "SCAN",
  "state": "single point on PBEsol structure",
  "vol_a3_per_atom": 17.6,
  "e_tot_ev_per_atom": -20.649,
  "ef_ev_per_atom": -0.3777,
  "space_group": "I4/mmm, No. 139",
  "lattice_angstrom": [[-0.5025, -3.0181, -2.8589], [3.8586, 0.7331, -1.4521], [0.1811, -2.2328, 5.3919]],
  "species": ["P", "P", "Li", "Li", "Pb"],
  "fractional_positions": [[0.3902, 0.3902, 0.7804], [0.6098, 0.6098, 0.2196], [0.7500, 0.2500, 0.5000], [0.2500, 0.7500, 0.5000], [0.0000, 0.0000, 0.0000]]
}

# 2
{
  "formula": "CaInSi",
  "functional": "SCAN",
  "state": "single point on PBEsol structure",
  "vol_a3_per_atom": 25.5,
  "e_form_raw_kj_per_mol_fu": 9,
  "e_tot_ev_per_atom": -17.658,
  "space_group": "F-43m, No. 216",
  "lattice_angstrom": [[-1.0225, -0.7402, -4.5931], [0.2845, -4.3904, -1.8257], [-3.9698, -2.3383, -1.2094]],
  "species": ["Si", "In", "Ca"],
  "fractional_positions": [[0.0000, 0.0000, 0.0000], [0.2500, 0.2500, 0.2500], [0.5000, 0.5000, 0.5000]]
}

# 3
{
  "formula": "BPdPt2",
  "functional": "SCAN",
  "state": "single point on PBEsol structure",
  "vol_a3_per_atom": 13.5,
  "e_tot_ev_per_atom": -45.336,
  "ef_ev_per_atom": -0.1880,
  "space_group": "I-42d, No. 122",
  "lattice_angstrom": [[-4.4441, -0.4256, -2.1414], [-1.0910, -4.4838, -2.5691], [-3.9404, -2.0468, 2.8598]],
  "species": ["Pt", "Pt", "Pt", "Pt", "Pd", "Pd", "B", "B"],
  "fractional_positions": [[0.2076, 0.9174, 0.4174], [0.3750, 0.4174, 0.0826], [0.8750, 0.5826, 0.9174], [0.5424, 0.0826, 0.5826], [0.7500, 0.5000, 0.5000], [0.0000, 0.0000, 0.0000], [0.2500, 0.5000, 0.5000], [0.5000, 0.0000, 0.0000]]
}

# 4
{
  "formula": "Ba2MoN3",
  "functional": "SCAN",
  "state": "single point on PBEsol structure",
  "vol_a3_per_atom": 19.4,
  "e_form_raw_kj_per_mol_fu": -568,
  "e_tot_ev_per_atom": -24.624,
  "space_group": "Cmce, No. 64",
  "lattice_angstrom": [[-4.2908, -4.1260, 0.7494], [5.8024, -1.1509, 2.8690], [-4.1439, 6.2898, 10.9039]],
  "species": ["Ba", "Ba", "Ba", "Ba", "Ba", "Ba", "Ba", "Ba", "Mo", "Mo", "Mo", "Mo", "N", "N", "N", "N", "N", "N", "N", "N", "N", "N", "N", "N"],
  "fractional_positions": [[0.9358, 0.8717, 0.6345], [0.8587, 0.7174, 0.0852], [0.6413, 0.2826, 0.5852], [0.4358, 0.8717, 0.8655], [0.1413, 0.2826, 0.9148], [0.3587, 0.7174, 0.4148], [0.0642, 0.1283, 0.3655], [0.5642, 0.1283, 0.1345], [0.7615, 0.5231, 0.8385], [0.2385, 0.4769, 0.1615], [0.7385, 0.4769, 0.3385], [0.2615, 0.5231, 0.6615], [0.3407, 0.6815, 0.0539], [0.6593, 0.3185, 0.9461], [0.4871, 0.4743, 0.7500], [0.8407, 0.6815, 0.4461], [0.0881, 0.1762, 0.1216], [0.5129, 0.5257, 0.2500], [0.9119, 0.8238, 0.8784], [0.5881, 0.1762, 0.3784], [0.0129, 0.5257, 0.2500], [0.4119, 0.8238, 0.6216], [0.1593, 0.3185, 0.5539], [0.9871, 0.4743, 0.7500]]
}

# 5
{
  "formula": "InTeRu2",
  "functional": "SCAN",
  "state": "single point on PBEsol structure",
  "vol_a3_per_atom": 17.4,
  "e_form_raw_kj_per_mol_fu": 91,
  "e_tot_ev_per_atom": -34.837,
  "space_group": "C2/m, No. 12",
  "lattice_angstrom": [[-1.0863, 0.6029, 2.8604], [1.6391, -4.1350, -0.2060], [4.5122, 2.8933, 1.1037]],
  "species": ["Te", "In", "Ru", "Ru"],
  "fractional_positions": [[0.0000, 0.0000, 0.5000], [0.5000, 0.0000, 0.0000], [0.2489, 0.4978, 0.2777], [0.7511, 0.5022, 0.7223]]
}

# 6
{
  "formula": "Re2AgSb",
  "functional": "SCAN",
  "state": "single point on PBEsol structure",
  "vol_a3_per_atom": 16.6,
  "e_form_raw_kj_per_mol_fu": 342,
  "e_tot_ev_per_atom": -51.821,
  "space_group": "F-43m, No. 216",
  "lattice_angstrom": [[4.5413, 0.0000, 0.0000], [2.2706, 3.9328, 0.0000], [2.2706, 1.3109, 3.7079]],
  "species": ["Ag", "Sb", "Re", "Re"],
  "fractional_positions": [[0.5000, 0.5000, 0.5000], [0.7500, 0.7500, 0.7500], [0.2500, 0.2500, 0.2500], [0.0000, 0.0000, 0.0000]]
}

# 7
{
  "formula": "HPtF2",
  "functional": "SCAN",
  "state": "single point on PBEsol structure",
  "vol_a3_per_atom": 10.0,
  "e_tot_ev_per_atom": -20.894,
  "space_group": "R-3m, No. 166",
  "lattice_angstrom": [[2.7100, 0.0000, 0.0000], [1.3550, 2.3469, 0.0000], [1.3550, 0.7823, 6.2892]],
  "species": ["F", "F", "H", "Pt"],
  "fractional_positions": [[0.9394, 0.9394, 0.1817], [0.0606, 0.0606, 0.8183], [0.0000, 0.0000, 0.0000], [0.5000, 0.5000, 0.5000]]
}

# 8
{
  "formula": "ErPt2",
  "functional": "SCAN",
  "state": "single point on PBEsol structure",
  "vol_a3_per_atom": 17.9,
  "e_tot_ev_per_atom": -64.890,
  "ef_ev_per_atom": -1.3147,
  "space_group": "Fd-3m, No. 227",
  "lattice_angstrom": [[-1.8291, 0.0241, 5.0142], [2.7152, -2.5188, 3.8434], [2.5427, 2.8151, 3.7548]],
  "species": ["Pt", "Pt", "Pt", "Pt", "Er", "Er"],
  "fractional_positions": [[0.6250, 0.1250, 0.1250], [0.1250, 0.6250, 0.1250], [0.1250, 0.1250, 0.1250], [0.1250, 0.1250, 0.6250], [0.7500, 0.7500, 0.7500], [0.5000, 0.5000, 0.5000]]
}

# 9
{
  "formula": "Tl2SeBr",
  "functional": "SCAN",
  "state": "single point on PBEsol structure",
  "vol_a3_per_atom": 30.8,
  "e_form_raw_kj_per_mol_fu": -197,
  "e_tot_ev_per_atom": -46.573,
  "space_group": "Amm2, No. 38",
  "lattice_angstrom": [[4.0615, 0.0000, 0.0000], [0.0000, 4.0852, 0.0000], [-2.0307, 0.0000, 7.4253]],
  "species": ["Se", "Tl", "Tl", "Br"],
  "fractional_positions": [[0.7345, 0.0000, 0.4691], [0.2604, 0.5000, 0.5209], [0.0479, 0.0000, 0.0957], [0.4572, 0.5000, 0.9143]]
}

# 10
{
  "formula": "Mn2ZnCdSe",
  "functional": "SCAN",
  "state": "single point on PBEsol structure",
  "vol_a3_per_atom": 21.5,
  "e_form_raw_kj_per_mol_fu": 209,
  "e_tot_ev_per_atom": -19.670,
  "space_group": "P4/mmm, No. 123",
  "lattice_angstrom": [[-2.4320, -0.6171, -3.7747], [0.7128, -4.4679, 0.2712], [-4.3388, -0.5174, 2.8801]],
  "species": ["Mn", "Mn", "Se", "Cd", "Zn"],
  "fractional_positions": [[0.5000, 0.0000, 0.0000], [0.0000, 0.5000, 0.0000], [0.0000, 0.0000, 0.0000], [0.0000, 0.0000, 0.5000], [0.5000, 0.5000, 0.5000]]
}

# 11
{
  "formula": "Sr2CaF",
  "functional": "SCAN",
  "state": "single point on PBEsol structure",
  "vol_a3_per_atom": 40.3,
  "e_form_raw_kj_per_mol_fu": -160,
  "e_tot_ev_per_atom": -14.852,
  "space_group": "Fm-3m, No. 225",
  "lattice_angstrom": [[-0.8491, 3.5364, 4.9056], [-5.5380, 0.4213, 2.5386], [-1.0621, -2.5423, 5.4498]],
  "species": ["Ca", "F", "Sr", "Sr"],
  "fractional_positions": [[0.5000, 0.5000, 0.5000], [0.0000, 0.0000, 0.0000], [0.2500, 0.2500, 0.2500], [0.7500, 0.7500, 0.7500]]
}

# 12
{
  "formula": "Li2NiAu",
  "functional": "SCAN",
  "state": "single point on PBEsol structure",
  "vol_a3_per_atom": 13.0,
  "e_tot_ev_per_atom": -22.750,
  "ef_ev_per_atom": -0.2221,
  "space_group": "Cmmm, No. 65",
  "lattice_angstrom": [[-1.7658, -1.2919, 1.5340], [1.1421, -3.9351, -1.9993], [2.6278, 0.7431, 3.6509]],
  "species": ["Au", "Li", "Li", "Ni"],
  "fractional_positions": [[0.5000, 0.5000, 0.5000], [0.0000, 0.0000, 0.5000], [0.0000, 0.5000, 0.0000], [0.5000, 0.0000, 0.0000]]
}

Repeat the seventh record exactly.
{
  "formula": "HPtF2",
  "functional": "SCAN",
  "state": "single point on PBEsol structure",
  "vol_a3_per_atom": 10.0,
  "e_tot_ev_per_atom": -20.894,
  "space_group": "R-3m, No. 166",
  "lattice_angstrom": [[2.7100, 0.0000, 0.0000], [1.3550, 2.3469, 0.0000], [1.3550, 0.7823, 6.2892]],
  "species": ["F", "F", "H", "Pt"],
  "fractional_positions": [[0.9394, 0.9394, 0.1817], [0.0606, 0.0606, 0.8183], [0.0000, 0.0000, 0.0000], [0.5000, 0.5000, 0.5000]]
}